# 1
Material: BaSrAlGa
Method: DFT, PBE-GGA
State: optimized geometry

```
BaSrAlGa
1.0
4.5411 0.0000 0.0000
0.0000 5.0067 0.0000
0.0000 0.0000 12.3703
Ba Sr Al Ga
2 2 2 2
Direct
0.0000 0.0000 0.0000
0.0000 0.5000 0.5000
0.5000 0.0000 0.7163
0.5000 0.5000 0.2163
0.0000 0.0000 0.2983
0.0000 0.5000 0.7983
0.5000 0.0000 0.4058
0.5000 0.5000 0.9058
```

Properties
ΔE to the lowest computed polymorph   0 meV/atom
DFT total energy   -22.85 eV/cell
Space group   Amm2 (38)
Energy of formation from the pure elements   -0.26 eV per atom

# 2
Material: BaSrAlGa
Method: DFT, PBE-GGA
State: optimized geometry

```
BaSrAlGa
1.0
8.0759 0.0000 0.0000
0.0000 8.0759 0.0000
0.0000 0.0000 8.0759
Ba Sr Al Ga
4 4 4 4
Direct
0.0000 0.0000 0.0000
0.0000 0.5000 0.5000
0.5000 0.0000 0.5000
0.5000 0.5000 0.0000
0.0000 0.0000 0.5000
0.0000 0.5000 0.0000
0.5000 0.0000 0.0000
0.5000 0.5000 0.5000
0.2500 0.2500 0.2500
0.2500 0.7500 0.7500
0.7500 0.2500 0.7500
0.7500 0.7500 0.2500
0.2500 0.2500 0.7500
0.2500 0.7500 0.2500
0.7500 0.2500 0.2500
0.7500 0.7500 0.7500
```

Properties
ΔE to the lowest computed polymorph   86 meV/atom
DFT total energy   -44.33 eV/cell
Space group   F-43m (216)
Energy of formation from the pure elements   -0.18 eV per atom

# 3
Material: Ba2TbAl3Ga12
Method: DFT, PBE-GGA
State: optimized geometry

```
Ba2TbAl3Ga12
1.0
3.4246 1.9772 10.3748
-3.4246 1.9772 10.3748
0.0000 -3.9544 10.3748
Ba Tb Al Ga
2 1 3 12
Direct
0.1444 0.1444 0.1444
0.8556 0.8556 0.8556
0.5000 0.5000 0.5000
0.0000 0.5000 0.5000
0.5000 0.0000 0.5000
0.5000 0.5000 0.0000
0.0885 0.0885 0.6865
0.0885 0.6865 0.0885
0.1385 0.5673 0.5673
0.3135 0.9115 0.9115
0.4327 0.4327 0.8615
0.4327 0.8615 0.4327
0.5673 0.1385 0.5673
0.5673 0.5673 0.1385
0.6865 0.0885 0.0885
0.8615 0.4327 0.4327
0.9115 0.3135 0.9115
0.9115 0.9115 0.3135
```

Properties
DFT total energy   -58.26 eV/cell
Space group   R-3m (166)
Energy of formation from the pure elements   -0.12 eV per atom

# 4
Material: Ba2AlGaTe5
Method: DFT, PBE-GGA
State: optimized geometry

```
Ba2AlGaTe5
1.0
2.1530 -10.7270 0.0000
2.1530 10.7270 0.0000
0.0000 0.0000 13.7606
Ba Al Ga Te
4 2 2 10
Direct
0.1177 0.8823 0.5000
0.1210 0.8790 0.1120
0.8790 0.1210 0.6120
0.8823 0.1177 0.0000
0.2271 0.7729 0.8382
0.7729 0.2271 0.3382
0.4358 0.5642 0.2665
0.5642 0.4358 0.7665
0.0392 0.9608 0.8761
0.2822 0.7178 0.4730
0.3148 0.6852 0.2073
0.3482 0.6518 0.8066
0.4937 0.5063 0.0981
0.5063 0.4937 0.5981
0.6518 0.3482 0.3066
0.6852 0.3148 0.7073
0.7178 0.2822 0.9730
0.9608 0.0392 0.3761
```

Properties
DFT total energy   -70.11 eV/cell
Space group   Cmc2_1 (36)
Formation energy (no corrections)   -0.97 eV/atom

# 5
Material: Ba2Al4TlGa3
Method: DFT, PBE-GGA
State: optimized geometry

```
Ba2Al4TlGa3
1.0
4.6516 0.0000 0.0000
0.0000 4.6516 0.0000
0.0000 0.0000 11.2353
Ba Al Tl Ga
2 4 1 3
Direct
0.0000 0.5000 0.2449
0.5000 0.0000 0.7551
0.0000 0.0000 0.0000
0.0000 0.5000 0.6376
0.5000 0.0000 0.3624
0.5000 0.5000 0.0000
0.0000 0.0000 0.5000
0.0000 0.5000 0.8737
0.5000 0.0000 0.1263
0.5000 0.5000 0.5000
```

Properties
DFT total energy   -33.21 eV/cell
Space group   P-4m2 (115)
Energy of formation from the pure elements   -0.29 eV per atom

# 6
Material: BaAl8Zn2Ga
Method: DFT, PBE-GGA
State: optimized geometry

```
BaAl8Zn2Ga
1.0
4.8048 -3.0254 0.0000
4.8048 3.0254 0.0000
-2.9303 0.0000 8.1600
Ba Al Zn Ga
1 8 2 1
Direct
0.0000 0.0000 0.0000
0.0721 0.6132 0.2722
0.1581 0.1581 0.4272
0.3453 0.3453 0.0102
0.3868 0.9279 0.7278
0.6132 0.0721 0.2722
0.6547 0.6547 0.9898
0.8419 0.8419 0.5728
0.9279 0.3868 0.7278
0.4027 0.4027 0.7356
0.5973 0.5973 0.2644
0.5000 0.5000 0.5000
```

Properties
DFT total energy   -36.97 eV/cell
Space group   C2/m (12)
Energy of formation from the pure elements   0.04 eV per atom

# 7
Material: Ba2Al3Zn4Ga
Method: DFT, PBE-GGA
State: optimized geometry

```
Ba2Al3Zn4Ga
1.0
4.5435 0.0000 0.0000
0.0000 4.5435 0.0000
0.0000 0.0000 11.1173
Ba Al Zn Ga
2 3 4 1
Direct
0.0000 0.5000 0.2491
0.5000 0.0000 0.7509
0.0000 0.5000 0.8757
0.5000 0.0000 0.1243
0.5000 0.5000 0.5000
0.0000 0.0000 0.0000
0.0000 0.5000 0.6308
0.5000 0.0000 0.3692
0.5000 0.5000 0.0000
0.0000 0.0000 0.5000
```

Properties
DFT total energy   -25.54 eV/cell
Space group   P-4m2 (115)
Energy of formation from the pure elements   -0.23 eV per atom

# 8
Material: BaAl2ZnGa
Method: DFT, PBE-GGA
State: optimized geometry

```
BaAl2ZnGa
1.0
5.0043 0.0000 0.0000
0.0000 5.0043 0.0000
0.0000 0.0000 5.1523
Ba Al Zn Ga
1 2 1 1
Direct
0.0000 0.0000 0.0000
0.0000 0.5000 0.5000
0.5000 0.0000 0.5000
0.5000 0.5000 0.5000
0.5000 0.5000 0.0000
```

Properties
ΔE to the lowest computed polymorph   382 meV/atom
DFT total energy   -13.20 eV/cell
Space group   P4/mmm (123)
Energy of formation from the pure elements   0.10 eV per atom

# 9
Material: Ba2Al4ZnGa3
Method: DFT, PBE-GGA
State: optimized geometry

```
Ba2Al4ZnGa3
1.0
4.5695 0.0000 0.0000
0.0000 4.5695 0.0000
0.0000 0.0000 11.0133
Ba Al Zn Ga
2 4 1 3
Direct
0.0000 0.5000 0.2487
0.5000 0.0000 0.7513
0.0000 0.0000 0.5000
0.0000 0.5000 0.8747
0.5000 0.0000 0.1253
0.5000 0.5000 0.5000
0.5000 0.5000 0.0000
0.0000 0.0000 0.0000
0.0000 0.5000 0.6318
0.5000 0.0000 0.3682
```

Properties
DFT total energy   -32.53 eV/cell
Space group   P-4m2 (115)
Energy of formation from the pure elements   -0.34 eV per atom

# 10
Material: Ba2AlZn3Ga4
Method: DFT, PBE-GGA
State: optimized geometry

```
Ba2AlZn3Ga4
1.0
4.5097 0.0000 0.0000
0.0000 4.5097 0.0000
0.0000 0.0000 11.1506
Ba Al Zn Ga
2 1 3 4
Direct
0.0000 0.5000 0.2501
0.5000 0.0000 0.7499
0.0000 0.0000 0.5000
0.0000 0.5000 0.8703
0.5000 0.0000 0.1297
0.5000 0.5000 0.5000
0.0000 0.0000 0.0000
0.0000 0.5000 0.6311
0.5000 0.0000 0.3689
0.5000 0.5000 0.0000
```

Properties
DFT total energy   -27.00 eV/cell
Space group   P-4m2 (115)
Energy of formation from the pure elements   -0.35 eV per atom

# 11
Material: BaAlZn4Ga2
Method: DFT, PBE-GGA
State: optimized geometry

```
BaAlZn4Ga2
1.0
2.2208 1.2822 9.8098
-2.2208 1.2822 9.8098
0.0000 -2.5643 9.8098
Ba Al Zn Ga
1 1 4 2
Direct
0.0000 0.0000 0.0000
0.5000 0.5000 0.5000
0.1334 0.1334 0.1334
0.4087 0.4087 0.4087
0.5913 0.5913 0.5913
0.8666 0.8666 0.8666
0.2393 0.2393 0.2393
0.7607 0.7607 0.7607
```

Properties
DFT total energy   -17.54 eV/cell
Space group   R-3m (166)
Energy of formation from the pure elements   -0.09 eV per atom

# 12
Material: BaAl2ZnGa
Method: DFT, PBE-GGA
State: optimized geometry

```
BaAl2ZnGa
1.0
4.5829 0.0000 0.0000
0.0000 4.5829 0.0000
0.0000 0.0000 11.0693
Ba Al Zn Ga
2 4 2 2
Direct
0.0000 0.0000 0.0000
0.5000 0.5000 0.5000
0.0000 0.0000 0.3774
0.0000 0.0000 0.6226
0.5000 0.5000 0.1226
0.5000 0.5000 0.8774
0.0000 0.5000 0.2500
0.5000 0.0000 0.7500
0.0000 0.5000 0.7500
0.5000 0.0000 0.2500
```

Properties
ΔE to the lowest computed polymorph   0 meV/atom
DFT total energy   -30.22 eV/cell
Space group   I-4m2 (119)
Energy of formation from the pure elements   -0.28 eV per atom